No. 1
The following is a DFT calculation (GGA-PBE) of an optimized crystal structure of Ba2MgCoP.

Density of states at the Fermi level = 1.1950 states/eV per atom
Calculated formation energy = 53 kJ/mol of atoms
Calculated volume = 35.46 Å³/atom

abc: 6.2206 4.5817 6.2206
angles: 90.00 90.00 90.00
Sites, in units of the cell vectors:
Ba1 0.5000 0.0000 0.0000
Ba2 0.0000 0.0000 0.5000
P1 0.5000 0.5000 0.5000
Co1 0.0000 0.5000 0.0000
Mg1 0.0000 0.0000 0.0000



No. 2
The following is a DFT calculation (GGA-PBE) of an optimized crystal structure of BaMg2CoPb.

Density of states at the Fermi level = 0.8726 states/eV per atom
Calculated formation energy = -8 kJ/mol of atoms
Calculated volume = 26.33 Å³/atom

abc: 5.0929 5.0929 5.0765
angles: 90.00 90.00 90.00
Sites, in units of the cell vectors:
Mg1 0.0000 0.5000 0.0000
Mg2 0.5000 0.0000 0.0000
Pb1 0.0000 0.0000 0.5000
Co1 0.0000 0.0000 0.0000
Ba1 0.5000 0.5000 0.5000



No. 3
The following is a DFT calculation (GGA-PBE) of an optimized crystal structure of BaMgCo2Rh.

Density of states at the Fermi level = 0.8986 states/eV per atom
Calculated formation energy = 39 kJ/mol of atoms
Calculated volume = 22.95 Å³/atom

abc: 4.8402 4.8984 4.8402
angles: 90.00 90.00 90.00
Sites, in units of the cell vectors:
Ba1 0.5000 0.5000 0.5000
Co1 0.5000 0.0000 0.0000
Co2 0.0000 0.0000 0.5000
Rh1 0.0000 0.0000 0.0000
Mg1 0.0000 0.5000 0.0000



No. 4
The following is a DFT calculation (GGA-PBE) of an optimized crystal structure of BaMg2CoRh.

Density of states at the Fermi level = 0.7427 states/eV per atom
Calculated formation energy = 8 kJ/mol of atoms
Calculated volume = 25.01 Å³/atom

abc: 5.0345 4.9329 5.0345
angles: 90.00 90.00 90.00
Sites, in units of the cell vectors:
Mg1 0.0000 0.0000 0.5000
Mg2 0.5000 0.0000 0.0000
Ba1 0.5000 0.5000 0.5000
Co1 0.0000 0.5000 0.0000
Rh1 0.0000 0.0000 0.0000



No. 5
The following is a DFT calculation (GGA-PBE) of an optimized crystal structure of BaMgSc2Co.

Density of states at the Fermi level = 0.6719 states/eV per atom
Calculated formation energy = -2 kJ/mol of atoms
Calculated volume = 25.95 Å³/atom

abc: 4.9613 4.9613 5.2709
angles: 90.00 90.00 90.00
Sites, in units of the cell vectors:
Co1 0.0000 0.0000 0.0000
Sc1 0.5000 0.0000 0.0000
Sc2 0.0000 0.5000 0.0000
Ba1 0.5000 0.5000 0.5000
Mg1 0.0000 0.0000 0.5000



No. 6
The following is a DFT calculation (GGA-PBE) of an optimized crystal structure of BaMg2ScCo.

Density of states at the Fermi level = 0.7237 states/eV per atom
Calculated formation energy = -2 kJ/mol of atoms
Calculated volume = 25.82 Å³/atom

abc: 5.2240 5.2240 4.7304
angles: 90.00 90.00 90.00
Sites, in units of the cell vectors:
Sc1 0.0000 0.0000 0.5000
Ba1 0.5000 0.5000 0.5000
Mg1 0.0000 0.5000 0.0000
Mg2 0.5000 0.0000 0.0000
Co1 0.0000 0.0000 0.0000



No. 7
The following is a DFT calculation (GGA-PBE) of an optimized crystal structure of Ba2MgCoSe.

Density of states at the Fermi level = 0.3014 states/eV per atom
Calculated volume = 31.22 Å³/atom
E_form (uncorrected) = -0.367 eV per atom

abc: 5.6652 5.6652 4.8638
angles: 90.00 90.00 90.00
Sites, in units of the cell vectors:
Ba1 0.5000 0.0000 0.0000
Ba2 0.0000 0.5000 0.0000
Se1 0.5000 0.5000 0.5000
Mg1 0.0000 0.0000 0.5000
Co1 0.0000 0.0000 0.0000



No. 8
The following is a DFT calculation (GGA-PBE) of an optimized crystal structure of BaMgCo2Se.

Density of states at the Fermi level = 0.6204 states/eV per atom
Calculated volume = 29.76 Å³/atom
E_form (uncorrected) = 1.353 eV per atom

abc: 4.9558 6.0578 4.9558
angles: 90.00 90.00 90.00
Sites, in units of the cell vectors:
Co1 0.0000 0.0000 0.5000
Co2 0.5000 0.0000 0.0000
Mg1 0.5000 0.5000 0.5000
Ba1 0.0000 0.0000 0.0000
Se1 0.0000 0.5000 0.0000



No. 9
The following is a DFT calculation (GGA-PBE) of an optimized crystal structure of BaMg2CoSn.

Density of states at the Fermi level = 0.8513 states/eV per atom
Calculated formation energy = -18 kJ/mol of atoms
Calculated volume = 25.39 Å³/atom

abc: 5.0650 5.0650 4.9480
angles: 90.00 90.00 90.00
Sites, in units of the cell vectors:
Ba1 0.5000 0.5000 0.5000
Sn1 0.0000 0.0000 0.5000
Mg1 0.5000 0.0000 0.0000
Mg2 0.0000 0.5000 0.0000
Co1 0.0000 0.0000 0.0000



No. 10
The following is a DFT calculation (GGA-PBE) of an optimized crystal structure of BaMgCoTc2.

Density of states at the Fermi level = 2.5237 states/eV per atom
Calculated formation energy = 209 kJ/mol of atoms
Calculated volume = 26.16 Å³/atom

abc: 4.7846 5.7128 4.7846
angles: 90.00 90.00 90.00
Sites, in units of the cell vectors:
Co1 0.5000 0.5000 0.5000
Tc1 0.5000 0.0000 0.0000
Tc2 0.0000 0.0000 0.5000
Ba1 0.0000 0.5000 0.0000
Mg1 0.0000 0.0000 0.0000



No. 11
The following is a DFT calculation (GGA-PBE) of an optimized crystal structure of BaMgTl2Co.

Density of states at the Fermi level = 0.7050 states/eV per atom
Calculated formation energy = -7 kJ/mol of atoms
Calculated volume = 26.98 Å³/atom

abc: 5.1642 5.1642 5.0583
angles: 90.00 90.00 90.00
Sites, in units of the cell vectors:
Mg1 0.0000 0.0000 0.5000
Tl1 0.0000 0.5000 0.0000
Tl2 0.5000 0.0000 0.0000
Ba1 0.5000 0.5000 0.5000
Co1 0.0000 0.0000 0.0000



No. 12
The following is a DFT calculation (GGA-PBE) of an optimized crystal structure of BaMg2TlCo.

Density of states at the Fermi level = 0.7682 states/eV per atom
Calculated formation energy = -3 kJ/mol of atoms
Calculated volume = 26.37 Å³/atom

abc: 5.0669 5.0669 5.1350
angles: 90.00 90.00 90.00
Sites, in units of the cell vectors:
Mg1 0.5000 0.0000 0.0000
Mg2 0.0000 0.5000 0.0000
Co1 0.0000 0.0000 0.0000
Tl1 0.0000 0.0000 0.5000
Ba1 0.5000 0.5000 0.5000